1.
KLi2CS at its PBEsol-relaxed geometry, computed with meta-GGA SCAN.

Unit cell a=5.217 b=6.113 c=6.113 alpha=90.00 beta=90.00 gamma=90.00
Site moments in Bohr magnetons follow the coordinates.
Fractional coordinates of all 5 atoms:
Li: 0.000 0.000 0.500  0.01
Li: 0.000 0.500 0.000  0.01
K: 0.000 0.000 0.000  0.01
C: 0.500 0.500 0.500  1.11
S: 0.500 0.000 0.000  0.10

Output
- Total magnetic moment: 0.604 μB/atom
- Space group: No. 123
- Formation energy (no corrections): 153.5 kJ per mole of atoms
- Calculated volume: 39.0 Å³/atom
- Density of states at the Fermi level: 2.08 states/eV/cell

***

2.
KLiTcC2 at its PBEsol-relaxed geometry, computed with meta-GGA SCAN.

Unit cell a=3.993 b=3.993 c=4.157 alpha=90.00 beta=90.00 gamma=90.00
Site moments in Bohr magnetons follow the coordinates.
Fractional coordinates of all 5 atoms:
K: 0.500 0.500 0.500  0.04
Tc: 0.000 0.000 0.500  2.85
Li: 0.000 0.000 0.000  -0.02
C: 0.000 0.500 0.000  -0.14
C: 0.500 0.000 0.000  -0.14

Output
- Total magnetic moment: 0.516 μB/atom
- Space group: No. 123
- Formation energy: 2.562 eV per atom
- Calculated volume: 13.3 Å³/atom
- Density of states at the Fermi level: 2.37 states/eV/cell

***

3.
K2LuPCO7 at its PBEsol-relaxed geometry, computed with meta-GGA SCAN.

Unit cell a=5.674 b=6.942 c=9.882 alpha=90.00 beta=90.03 gamma=90.00
Fractional coordinates of all 24 atoms:
Lu: 0.210 0.750 0.628
Lu: 0.790 0.250 0.372
K: 0.251 0.517 0.220
O: 0.159 0.250 0.424
K: 0.251 0.983 0.220
O: 0.444 0.750 0.456
K: 0.749 0.017 0.780
O: 0.703 0.250 0.980
O: 0.211 0.066 0.643
O: 0.055 0.750 0.838
O: 0.789 0.566 0.357
O: 0.841 0.750 0.576
P: 0.283 0.250 0.565
O: 0.560 0.250 0.193
C: 0.736 0.250 0.105
P: 0.717 0.750 0.435
O: 0.211 0.434 0.643
C: 0.264 0.750 0.895
O: 0.556 0.250 0.544
K: 0.749 0.483 0.780
O: 0.440 0.750 0.807
O: 0.945 0.250 0.162
O: 0.789 0.934 0.357
O: 0.297 0.750 0.020

Output
- Total magnetic moment: 0.006 μB/atom
- Space group: No. 11
- Formation energy (no corrections): -252.9 kJ per mole of atoms
- Calculated volume: 16.2 Å³/atom
- Density of states at the Fermi level: 0.00 states/eV/cell

***

4.
KMg3C at its PBEsol-relaxed geometry, computed with meta-GGA SCAN.

Unit cell a=4.750 b=4.750 c=4.750 alpha=90.00 beta=90.00 gamma=90.00
Fractional coordinates of all 5 atoms:
Mg: 0.000 0.500 0.000
C: 0.000 0.000 0.000
Mg: 0.000 0.000 0.500
K: 0.500 0.500 0.500
Mg: 0.500 0.000 0.000

Output
- Total magnetic moment: 0.000 μB/atom
- Space group: No. 221
- Formation energy: 0.572 eV per atom
- Calculated volume: 21.4 Å³/atom
- Density of states at the Fermi level: 2.66 states/eV/cell

***

5.
K3MgC at its PBEsol-relaxed geometry, computed with meta-GGA SCAN.

Unit cell a=6.728 b=6.728 c=6.728 alpha=90.00 beta=90.00 gamma=90.00
Site moments in Bohr magnetons follow the coordinates.
Fractional coordinates of all 5 atoms:
Mg: 0.000 0.000 0.000  -0.06
K: 0.000 0.000 0.500  -0.03
K: 0.500 0.000 0.000  -0.03
K: 0.000 0.500 0.000  -0.03
C: 0.500 0.500 0.500  1.11

Output
- Total magnetic moment: 0.200 μB/atom
- Space group: No. 221
- Formation energy: 1.458 eV per atom
- Calculated volume: 60.9 Å³/atom
- Density of states at the Fermi level: 1.83 states/eV/cell

***

6.
K2Mn3V2CO11 at its PBEsol-relaxed geometry, computed with meta-GGA SCAN.

Unit cell a=5.150 b=5.150 c=22.042 alpha=90.00 beta=90.00 gamma=120.00
Site moments in Bohr magnetons follow the coordinates.
Fractional coordinates of all 38 atoms:
C: 0.667 0.333 0.250  0.01
O: 0.674 0.683 0.053  0.02
O: 0.326 0.317 0.553  0.02
O: 0.000 0.000 0.657  -0.01
V: 0.000 0.000 0.421  0.43
O: 0.683 0.009 0.947  0.02
Mn: 0.667 0.333 0.496  4.40
O: 0.934 0.371 0.250  0.03
O: 0.629 0.564 0.250  0.03
O: 0.436 0.066 0.250  0.03
O: 0.371 0.436 0.750  0.03
Mn: 0.000 0.000 0.250  4.48
O: 0.000 0.000 0.157  -0.01
O: 0.683 0.009 0.553  0.02
K: 0.333 0.667 0.342  0.00
V: 0.000 0.000 0.921  0.43
O: 0.000 0.000 0.343  -0.01
V: 0.000 0.000 0.579  0.43
O: 0.317 0.991 0.053  0.02
O: 0.066 0.629 0.750  0.03
O: 0.009 0.326 0.447  0.02
O: 0.326 0.317 0.947  0.02
O: 0.000 0.000 0.843  -0.01
O: 0.674 0.683 0.447  0.02
O: 0.564 0.934 0.750  0.03
Mn: 0.333 0.667 0.996  4.40
O: 0.991 0.674 0.553  0.02
Mn: 0.667 0.333 0.004  4.40
V: 0.000 0.000 0.079  0.43
Mn: 0.333 0.667 0.504  4.40
O: 0.317 0.991 0.447  0.02
Mn: 0.000 0.000 0.750  4.48
K: 0.667 0.333 0.658  0.00
C: 0.333 0.667 0.750  0.01
O: 0.991 0.674 0.947  0.02
K: 0.333 0.667 0.158  0.00
K: 0.667 0.333 0.842  0.00
O: 0.009 0.326 0.053  0.02

Output
- Total magnetic moment: 0.789 μB/atom
- Space group: No. 176
- Formation energy (no corrections): -221.5 kJ per mole of atoms
- Calculated volume: 13.3 Å³/atom

***

7.
K2MoC at its PBEsol-relaxed geometry, computed with meta-GGA SCAN.

Unit cell a=3.980 b=8.674 c=8.674 alpha=86.98 beta=76.74 gamma=76.74
Site moments in Bohr magnetons follow the coordinates.
Fractional coordinates of all 8 atoms:
C: 0.250 0.500 0.500  -0.21
K: 0.375 0.302 0.198  0.02
K: 0.427 0.198 0.698  0.02
Mo: 0.000 0.000 0.000  2.77
K: 0.875 0.698 0.802  0.02
Mo: 0.750 0.500 0.500  2.77
K: 0.323 0.802 0.302  0.02
C: 0.500 0.000 0.000  -0.21

Output
- Total magnetic moment: 0.780 μB/atom
- Space group: No. 122
- Formation energy: 1.015 eV per atom
- Calculated volume: 35.5 Å³/atom
- Density of states at the Fermi level: 3.27 states/eV/cell

***

8.
K6Mo6C5Se8N5 at its PBEsol-relaxed geometry, computed with meta-GGA SCAN.

Unit cell a=9.388 b=9.388 c=9.388 alpha=104.64 beta=104.64 gamma=119.64
Site moments in Bohr magnetons follow the coordinates.
Fractional coordinates of all 30 atoms:
K: 0.371 0.727 0.095  0.00
C: 0.106 0.667 0.773  0.00
Mo: 0.946 0.154 0.102  -0.24
K: 0.276 0.371 0.644  0.00
Mo: 0.154 0.053 0.208  -0.24
C: 0.435 0.435 0.000  0.00
K: 0.631 0.276 0.905  0.00
N: 0.133 0.568 0.700  0.00
Se: 0.290 0.394 0.297  -0.01
K: 0.250 0.750 0.500  0.00
K: 0.750 0.250 0.500  0.00
Mo: 0.053 0.845 0.898  -0.24
N: 0.867 0.432 0.300  0.00
Mo: 0.845 0.946 0.792  -0.24
C: 0.894 0.333 0.227  0.00
Se: 0.994 0.290 0.897  -0.01
N: 0.568 0.867 0.435  0.00
K: 0.727 0.631 0.356  0.00
N: 0.432 0.133 0.565  0.00
Se: 0.394 0.097 0.103  -0.01
C: 0.667 0.894 0.562  0.00
Mo: 0.792 0.792 0.000  0.06
Se: 0.006 0.709 0.104  -0.01
Se: 0.605 0.903 0.896  -0.01
C: 0.333 0.106 0.438  0.00
Se: 0.903 0.006 0.297  -0.01
Se: 0.709 0.605 0.703  -0.01
N: 0.562 0.562 0.000  0.00
Se: 0.097 0.994 0.703  -0.01
Mo: 0.210 0.210 0.000  0.04

Output
- Total magnetic moment: 0.036 μB/atom
- Space group: No. 79
- Formation energy (no corrections): -63.8 kJ per mole of atoms
- Calculated volume: 20.7 Å³/atom
- Density of states at the Fermi level: 1.64 states/eV/cell